1.
A PBEsol-optimized structure of Zn2CdAg, computed with meta-GGA SCAN.

Output
**Formation enthalpy at 0 K**: 0.032 eV/atom
**VASP energy**: -22.1713 eV/atom

```
data_Zn2CdAg
_chemical_formula_sum 'Zn2 Cd1 Ag1'
_space_group_name_H-M_alt 'P m m 2'
_space_group_IT_number 25
_space_group_name_Hall 'P 2 -2'
_cell_length_a 3.2260
_cell_length_b 3.5679
_cell_length_c 5.6749
_cell_angle_alpha 90.00
_cell_angle_beta 90.00
_cell_angle_gamma 90.00
loop_
_atom_site_label
_atom_site_fract_x
_atom_site_fract_y
_atom_site_fract_z
Zn1 0.0000 0.0000 0.0000
Zn2 0.5000 0.5000 0.2317
Cd1 0.5000 0.5000 0.7408
Ag1 0.0000 0.0000 0.4670
```

***

2.
A PBEsol-optimized structure of ZnCdAg, computed with meta-GGA SCAN.

Output
**Formation enthalpy at 0 K**: 0.019 eV/atom
**VASP energy**: -25.0803 eV/atom

```
data_ZnCdAg
_chemical_formula_sum 'Zn1 Cd1 Ag1'
_space_group_name_H-M_alt 'P 3 m 1'
_space_group_IT_number 156
_space_group_name_Hall 'P 3 -2"'
_cell_length_a 4.5261
_cell_length_b 4.5261
_cell_length_c 2.8555
_cell_angle_alpha 90.00
_cell_angle_beta 90.00
_cell_angle_gamma 120.00
loop_
_atom_site_label
_atom_site_fract_x
_atom_site_fract_y
_atom_site_fract_z
Zn1 0.0000 0.0000 0.0000
Cd1 0.3333 0.6667 0.4162
Ag1 0.6667 0.3333 0.8857
```

***

3.
A PBEsol-optimized structure of ZnCdAg2, computed with meta-GGA SCAN.

Output
**Formation enthalpy at 0 K**: 0.002 eV/atom
**VASP energy**: -26.6636 eV/atom

```
data_ZnCdAg2
_chemical_formula_sum 'Zn1 Cd1 Ag2'
_space_group_name_H-M_alt 'P m m 2'
_space_group_IT_number 25
_space_group_name_Hall 'P 2 -2'
_cell_length_a 2.8585
_cell_length_b 4.0547
_cell_length_c 5.7775
_cell_angle_alpha 90.00
_cell_angle_beta 90.00
_cell_angle_gamma 90.00
loop_
_atom_site_label
_atom_site_fract_x
_atom_site_fract_y
_atom_site_fract_z
Zn1 0.0000 0.0000 0.0000
Cd1 0.5000 0.5000 0.7281
Ag1 0.0000 0.0000 0.4758
Ag2 0.5000 0.5000 0.2181
```

***

4.
A PBEsol-optimized structure of Zn2CdAg, computed with meta-GGA SCAN.

Output
**Formation enthalpy at 0 K**: 0.054 eV/atom
**VASP energy**: -22.1486 eV/atom

```
data_Zn2CdAg
_chemical_formula_sum 'Zn2 Cd1 Ag1'
_space_group_name_H-M_alt 'P 4/m m m'
_space_group_IT_number 123
_space_group_name_Hall '-P 4 2'
_cell_length_a 4.0395
_cell_length_b 4.0395
_cell_length_c 3.9462
_cell_angle_alpha 90.00
_cell_angle_beta 90.00
_cell_angle_gamma 90.00
loop_
_atom_site_label
_atom_site_fract_x
_atom_site_fract_y
_atom_site_fract_z
Zn1 0.0000 0.5000 0.0000
Cd1 0.0000 0.0000 0.5000
Ag1 0.5000 0.5000 0.5000
```